{"formula": "AlHgRh2", "functional": "meta-GGA SCAN", "state": "PBEsol geometry", "lattice_angstrom": [[-0.4059, 2.9560, 0.1581], [-2.7293, -0.4355, 1.1354], [2.5407, 0.0219, 6.1159]], "species": ["Rh", "Rh", "Hg", "Al"], "fractional_positions": [[0.0000, 0.0000, 0.7838], [0.0000, 0.0000, 0.2162], [0.5000, 0.5000, 0.5000], [0.5000, 0.5000, 0.0000]], "e_form_ev_per_atom": -0.60, "volume_a3_per_cell": 59.13, "final_energy_ev_per_atom": -36.47, "density_kg_m3": 12171}